(1)
A plane-wave DFT calculation with GGA-PBE was carried out for Tb2Dy6Pu after structural relaxation.

Calculated values
Uncorrected energy   -5.61 eV per atom

CIF file:
```
data_Tb2Dy6Pu
_space_group_name_H-M_alt 'P -1'
_space_group_IT_number 2
_space_group_name_Hall '-P 1'
_cell_length_a 3.502
_cell_length_b 8.552
_cell_length_c 9.665
_cell_angle_alpha 103.91
_cell_angle_beta 91.49
_cell_angle_gamma 90.14
loop_
_atom_site_label
_atom_site_type_symbol
_atom_site_fract_x
_atom_site_fract_y
_atom_site_fract_z
Tb1 Tb 0.233 0.177 0.111
Dy1 Dy 0.205 0.813 0.214
Dy2 Dy 0.257 0.480 0.653
Dy3 Dy 0.258 0.859 0.576
Pu1 Pu 0.500 0.500 0.000
```

(2)
A plane-wave DFT calculation with GGA-PBE was carried out for Tb2Sm5Bi5 after structural relaxation.

Calculated values
Uncorrected energy   -5.01 eV per atom

CIF file:
```
data_Tb2Sm5Bi5
_space_group_name_H-M_alt 'C 1 2/m 1'
_space_group_IT_number 12
_space_group_name_Hall '-C 2y'
_cell_length_a 14.844
_cell_length_b 4.505
_cell_length_c 12.986
_cell_angle_alpha 90.00
_cell_angle_beta 111.36
_cell_angle_gamma 90.00
loop_
_atom_site_label
_atom_site_type_symbol
_atom_site_fract_x
_atom_site_fract_y
_atom_site_fract_z
Tb1 Tb 0.048 0.000 0.289
Sm1 Sm 0.000 0.500 0.000
Sm2 Sm 0.162 0.500 0.534
Sm3 Sm 0.218 0.500 0.840
Bi1 Bi 0.000 0.000 0.500
Bi2 Bi 0.118 0.000 0.931
Bi3 Bi 0.194 0.500 0.285
```

(3)
A plane-wave DFT calculation with GGA-PBE was carried out for LiTc2Pt2 after structural relaxation.

Calculated values
Uncorrected energy   -6.97 eV per atom

CIF file:
```
data_LiTc2Pt2
_space_group_name_H-M_alt 'P 4/m b m'
_space_group_IT_number 127
_space_group_name_Hall '-P 4 2ab'
_cell_length_a 7.832
_cell_length_b 7.832
_cell_length_c 2.692
_cell_angle_alpha 90.00
_cell_angle_beta 90.00
_cell_angle_gamma 90.00
loop_
_atom_site_label
_atom_site_type_symbol
_atom_site_fract_x
_atom_site_fract_y
_atom_site_fract_z
Li1 Li 0.000 0.000 0.000
Tc1 Tc 0.111 0.389 0.000
Pt1 Pt 0.183 0.683 0.500
```

(4)
A plane-wave DFT calculation with GGA-PBE was carried out for YZrTiSn2 after structural relaxation.

Calculated values
Uncorrected energy   -4.97 eV per atom

CIF file:
```
data_YZrTiSn2
_space_group_name_H-M_alt 'P 4/m m m'
_space_group_IT_number 123
_space_group_name_Hall '-P 4 2'
_cell_length_a 5.536
_cell_length_b 5.536
_cell_length_c 5.079
_cell_angle_alpha 90.00
_cell_angle_beta 90.00
_cell_angle_gamma 90.00
loop_
_atom_site_label
_atom_site_type_symbol
_atom_site_fract_x
_atom_site_fract_y
_atom_site_fract_z
Y1 Y 0.000 0.000 0.000
Zr1 Zr 0.000 0.000 0.500
Ti1 Ti 0.500 0.500 0.500
Sn1 Sn 0.000 0.500 0.000
```

(5)
A plane-wave DFT calculation with GGA-PBE was carried out for GeSe2BrCl after structural relaxation.

Calculated values
Uncorrected energy   -2.63 eV per atom
Energy relative to the elements, uncorrected   38.0 kJ per mole of atoms

CIF file:
```
data_GeSe2BrCl
_space_group_name_H-M_alt 'P 4/m m m'
_space_group_IT_number 123
_space_group_name_Hall '-P 4 2'
_cell_length_a 5.117
_cell_length_b 5.117
_cell_length_c 5.167
_cell_angle_alpha 90.00
_cell_angle_beta 90.00
_cell_angle_gamma 90.00
loop_
_atom_site_label
_atom_site_type_symbol
_atom_site_fract_x
_atom_site_fract_y
_atom_site_fract_z
Ge1 Ge 0.000 0.000 0.000
Se1 Se 0.000 0.500 0.000
Br1 Br 0.000 0.000 0.500
Cl1 Cl 0.500 0.500 0.500
```

(6)
A plane-wave DFT calculation with GGA-PBE was carried out for TeRuPb after structural relaxation.

Calculated values
Uncorrected energy   -5.23 eV per atom
Energy relative to the elements, uncorrected   13.9 kJ per mole of atoms

CIF file:
```
data_TeRuPb
_space_group_name_H-M_alt 'P 3 m 1'
_space_group_IT_number 156
_space_group_name_Hall 'P 3 -2"'
_cell_length_a 3.7012
_cell_length_b 3.7012
_cell_length_c 6.2452
_cell_angle_alpha 90.00
_cell_angle_beta 90.00
_cell_angle_gamma 120.00
loop_
_atom_site_label
_atom_site_type_symbol
_atom_site_fract_x
_atom_site_fract_y
_atom_site_fract_z
Te1 Te 0.0000 0.0000 0.0000
Ru1 Ru 0.6667 0.3333 0.7712
Pb1 Pb 0.3333 0.6667 0.4519
```

(7)
A plane-wave DFT calculation with GGA-PBE was carried out for ZrScTl2Se4 after structural relaxation.

Calculated values
Uncorrected energy   -5.30 eV per atom
Energy relative to the elements, uncorrected   -107.0 kJ per mole of atoms

CIF file:
```
data_ZrScTl2Se4
_space_group_name_H-M_alt 'P 1 2/m 1'
_space_group_IT_number 10
_space_group_name_Hall '-P 2y'
_cell_length_a 6.708
_cell_length_b 3.843
_cell_length_c 8.545
_cell_angle_alpha 90.00
_cell_angle_beta 104.72
_cell_angle_gamma 90.00
loop_
_atom_site_label
_atom_site_type_symbol
_atom_site_fract_x
_atom_site_fract_y
_atom_site_fract_z
Zr1 Zr 0.000 0.000 0.000
Sc1 Sc 0.500 0.500 0.000
Tl1 Tl 0.000 0.500 0.500
Tl2 Tl 0.500 0.000 0.500
Se1 Se 0.230 0.500 0.192
Se2 Se 0.270 0.000 0.810
```

(8)
A plane-wave DFT calculation with GGA-PBE was carried out for EuCdCo4 after structural relaxation.

Calculated values
Uncorrected energy   -6.45 eV per atom

CIF file:
```
data_EuCdCo4
_space_group_name_H-M_alt 'F -4 3 m'
_space_group_IT_number 216
_space_group_name_Hall 'F -4 2 3'
_cell_length_a 7.162
_cell_length_b 7.162
_cell_length_c 7.162
_cell_angle_alpha 90.00
_cell_angle_beta 90.00
_cell_angle_gamma 90.00
loop_
_atom_site_label
_atom_site_type_symbol
_atom_site_fract_x
_atom_site_fract_y
_atom_site_fract_z
Eu1 Eu 0.000 0.000 0.000
Cd1 Cd 0.250 0.250 0.250
Co1 Co 0.124 0.124 0.624
```

(9)
A plane-wave DFT calculation with GGA-PBE was carried out for YSi after structural relaxation.

Calculated values
Uncorrected energy   -6.42 eV per atom
Energy relative to the elements, uncorrected   -45.7 kJ per mole of atoms

CIF file:
```
data_YSi
_space_group_name_H-M_alt 'I 4/m m m'
_space_group_IT_number 139
_space_group_name_Hall '-I 4 2'
_cell_length_a 4.115
_cell_length_b 4.115
_cell_length_c 5.811
_cell_angle_alpha 90.00
_cell_angle_beta 90.00
_cell_angle_gamma 90.00
loop_
_atom_site_label
_atom_site_type_symbol
_atom_site_fract_x
_atom_site_fract_y
_atom_site_fract_z
Y1 Y 0.000 0.000 0.000
Si1 Si 0.000 0.000 0.500
```

(10)
A plane-wave DFT calculation with GGA-PBE was carried out for HfNbRuPb2 after structural relaxation.

Calculated values
Uncorrected energy   -5.93 eV per atom

CIF file:
```
data_HfNbRuPb2
_space_group_name_H-M_alt 'P 4/m m m'
_space_group_IT_number 123
_space_group_name_Hall '-P 4 2'
_cell_length_a 5.384
_cell_length_b 5.384
_cell_length_c 5.035
_cell_angle_alpha 90.00
_cell_angle_beta 90.00
_cell_angle_gamma 90.00
loop_
_atom_site_label
_atom_site_type_symbol
_atom_site_fract_x
_atom_site_fract_y
_atom_site_fract_z
Hf1 Hf 0.000 0.000 0.000
Nb1 Nb 0.000 0.000 0.500
Ru1 Ru 0.500 0.500 0.000
Pb1 Pb 0.000 0.500 0.500
```

(11)
A plane-wave DFT calculation with GGA-PBE was carried out for LiH4SNO4 after structural relaxation.

Calculated values
Uncorrected energy   -5.54 eV per atom

CIF file:
```
data_LiH4SNO4
_space_group_name_H-M_alt 'P c a 21'
_space_group_IT_number 29
_space_group_name_Hall 'P 2c -2ac'
_cell_length_a 10.433
_cell_length_b 5.014
_cell_length_c 17.119
_cell_angle_alpha 90.00
_cell_angle_beta 90.00
_cell_angle_gamma 90.00
loop_
_atom_site_label
_atom_site_type_symbol
_atom_site_fract_x
_atom_site_fract_y
_atom_site_fract_z
Li1 Li 0.027 0.042 0.000
Li2 Li 0.223 0.543 0.997
H1 H 0.008 0.314 0.640
H2 H 0.011 0.515 0.225
H3 H 0.035 0.647 0.642
H4 H 0.116 0.470 0.148
H5 H 0.134 0.969 0.849
H6 H 0.215 0.852 0.357
H7 H 0.239 0.000 0.772
H8 H 0.242 0.186 0.355
S1 S 0.023 0.457 0.398
S2 S 0.227 0.045 0.599
N1 N 0.021 0.506 0.164
N2 N 0.229 0.003 0.833
O1 O 0.007 0.162 0.405
O2 O 0.027 0.448 0.823
O3 O 0.049 0.413 0.964
O4 O 0.087 0.980 0.592
O5 O 0.163 0.522 0.405
O6 O 0.201 0.913 0.034
O7 O 0.223 0.950 0.175
O8 O 0.243 0.340 0.592
```

(12)
A plane-wave DFT calculation with GGA-PBE was carried out for Pb2WI after structural relaxation.

Calculated values
Uncorrected energy   -4.19 eV per atom
Energy relative to the elements, uncorrected   124.2 kJ per mole of atoms

CIF file:
```
data_Pb2WI
_space_group_name_H-M_alt 'F m -3 m'
_space_group_IT_number 225
_space_group_name_Hall '-F 4 2 3'
_cell_length_a 7.712
_cell_length_b 7.712
_cell_length_c 7.712
_cell_angle_alpha 90.00
_cell_angle_beta 90.00
_cell_angle_gamma 90.00
loop_
_atom_site_label
_atom_site_type_symbol
_atom_site_fract_x
_atom_site_fract_y
_atom_site_fract_z
Pb1 Pb 0.250 0.250 0.250
W1 W 0.000 0.000 0.000
I1 I 0.000 0.000 0.500
```

| no. | total magnetization (μB/f.u.) |
| --- | --- |
| 1 | 6.4 |
| 2 | 0.0 |
| 3 | 0.0 |
| 4 | 0.0 |
| 5 | 1.8 |
| 6 | 0.0 |
| 7 | 0.0 |
| 8 | 12.5 |
| 9 | 0.0 |
| 10 | 2.3 |
| 11 | 0.0 |
| 12 | 3.4 |